# 1
The following is a DFT calculation (GGA-PBE) of a relaxed structure of Tm6Tl2Os.

a = 8.4104 Å, b = 8.4104 Å, c = 3.9305 Å
α = 90.00°, β = 90.00°, γ = 120.00°
With the nearest neighbours (Å) after each atom.
Space group P-62m (No. 189)
One atom of each set of equivalent atoms:
Tm 0.0000 0.2420 0.0000 [3 per cell]  2 Os 2.83
Tm 0.0000 0.6182 0.5000 [3 per cell]  1 Os 3.21, 4 Tl 3.28, 4 Tm 3.43
Tl 0.3333 0.6667 0.0000 [2 per cell]  9 Tm 3.26-3.28
Os 0.0000 0.0000 0.5000 [1 per cell]  6 Tm 2.83

Computed properties:
The crystal system is hexagonal. The relative energy among the computed polymorphs comes out at 0.00 eV/f.u. For the calculated formation energy, the calculation gives -309.4 meV per atom.

***

# 2
The following is a DFT calculation (GGA-PBE) of a relaxed structure of MnS3N.

a = 3.9861 Å, b = 3.9861 Å, c = 3.9861 Å
α = 90.00°, β = 90.00°, γ = 90.00°
With the nearest neighbours (Å) after each atom.
Space group Pm-3m (No. 221)
One atom of each set of equivalent atoms:
Mn 0.0000 0.0000 0.0000 [1 per cell]  12 S 2.82
S 0.0000 0.5000 0.5000 [3 per cell]  2 N 1.99
N 0.5000 0.5000 0.5000 [1 per cell]  6 S 1.99

Computed properties:
The energy relative to the elements, uncorrected comes out at 1331 meV/atom. The crystal system is cubic. The relative energy among the computed polymorphs comes out at 0.00 eV/f.u.

***

# 3
The following is a DFT calculation (GGA-PBE) of a relaxed structure of RbTcHCl6.

a = 6.2464 Å, b = 6.3346 Å, c = 7.2497 Å
α = 70.26°, β = 72.26°, γ = 86.94°
With the nearest neighbours (Å) after each atom.
Space group P1 (No. 1)
One atom of each set of equivalent atoms:
Rb 0.0000 0.0000 0.0000 [1 per cell]  10 Cl 3.53-3.81, 2 H 3.91-3.94
Tc 0.4941 0.4954 0.5049 [1 per cell]  6 Cl 2.35-2.48
H 0.9849 0.5124 0.5101 [1 per cell]  1 Cl 1.46
Cl 0.1847 0.3283 0.4650 [1 per cell]  1 H 1.70
Cl 0.2558 0.5564 0.8016 [1 per cell]  1 Tc 2.35
Cl 0.4273 0.8520 0.2978 [1 per cell]  1 Tc 2.35
Cl 0.5717 0.1439 0.7139 [1 per cell]  1 Tc 2.35
Cl 0.7432 0.4401 0.2104 [1 per cell]  1 Tc 2.35
Cl 0.8131 0.6710 0.5485 [1 per cell]  1 H 1.46

Computed properties:
The crystal system is triclinic. For the calculated total energy, the calculation gives -3.807 eV per atom.

***

Number 1: total magnetization 0.00 μB per cell. Number 2: total magnetization 0.00 μB per cell. Number 3: total magnetization 3.00 μB per cell.